This record from the Alexandria database describes a geometry-optimized Sr3ZrI structure. The functional is PBE.

Values from the calculation:
E above lowest polymorph, kJ/mol of atoms: 0.0

Cell: 6.194 6.194 6.194 Å, 90.00 90.00 90.00°
Space group Pm-3m (No. 221)
Asymmetric unit:
Sr 0.000 0.000 0.500 [3 per cell]
Zr 0.500 0.500 0.500 [1 per cell]
I 0.000 0.000 0.000 [1 per cell]